DFT (GGA-PBE) results for a relaxed Ho12Sb3O5 crystal.

Results
**Uncorrected formation energy**: -1.698 eV/atom
**VASP energy**: -504.2 eV for the cell shown
**M_tot**: 0.00 μB per cell

abc: 13.4085 13.4085 13.4085
angles: 109.47 109.47 109.47
Positions (direct):
1 Sb 0.7500 0.3750 0.1250
2 Sb 0.8750 0.7500 0.1250
3 Sb 0.3750 0.7500 0.6250
4 Sb 0.2500 0.1250 0.3750
5 Sb 0.8750 0.1250 0.2500
6 Sb 0.3750 0.6250 0.2500
7 Sb 0.6250 0.3750 0.7500
8 Sb 0.1250 0.8750 0.7500
9 Sb 0.7500 0.8750 0.6250
10 Sb 0.6250 0.2500 0.3750
11 Sb 0.1250 0.2500 0.8750
12 Sb 0.2500 0.6250 0.8750
13 O 0.1250 0.3750 0.2500
14 O 0.0000 0.5000 0.0000
15 O 0.0000 0.0000 0.0000
16 O 0.3750 0.2500 0.1250
17 O 0.5000 0.0000 0.5000
18 O 0.5000 0.5000 0.0000
19 O 0.1250 0.7500 0.3750
20 O 0.7500 0.1250 0.8750
21 O 0.7500 0.6250 0.3750
22 O 0.3750 0.1250 0.7500
23 O 0.6250 0.8750 0.2500
24 O 0.5000 0.5000 0.5000
25 O 0.5000 0.0000 0.0000
26 O 0.0000 0.0000 0.5000
27 O 0.2500 0.3750 0.6250
28 O 0.2500 0.8750 0.1250
29 O 0.0000 0.5000 0.5000
30 O 0.8750 0.2500 0.6250
31 O 0.6250 0.7500 0.8750
32 O 0.8750 0.6250 0.7500
33 Ho 0.6954 0.1057 0.0064
34 Ho 0.3110 0.5064 0.4008
35 Ho 0.9936 0.3943 0.3046
36 Ho 0.5064 0.1954 0.1057
37 Ho 0.5897 0.6954 0.6890
38 Ho 0.9936 0.5992 0.1890
39 Ho 0.3110 0.8046 0.4103
40 Ho 0.0992 0.9103 0.1057
41 Ho 0.5992 0.9936 0.6890
42 Ho 0.6954 0.5897 0.1890
43 Ho 0.8046 0.4936 0.3943
44 Ho 0.8110 0.9008 0.0064
45 Ho 0.1057 0.6954 0.5064
46 Ho 0.3943 0.4008 0.0897
47 Ho 0.0897 0.9008 0.3943
48 Ho 0.4103 0.1057 0.5992
49 Ho 0.0897 0.1890 0.1954
50 Ho 0.4936 0.6890 0.0992
51 Ho 0.8110 0.9103 0.3046
52 Ho 0.1057 0.4103 0.0992
53 Ho 0.3943 0.9936 0.8046
54 Ho 0.5992 0.6057 0.4103
55 Ho 0.9008 0.8110 0.5064
56 Ho 0.8046 0.3110 0.9103
57 Ho 0.4008 0.3943 0.5897
58 Ho 0.0992 0.1890 0.4936
59 Ho 0.1954 0.6890 0.0897
60 Ho 0.1890 0.0897 0.6954
61 Ho 0.6057 0.0064 0.1954
62 Ho 0.8943 0.5897 0.9008
63 Ho 0.5064 0.3110 0.9008
64 Ho 0.5897 0.8943 0.4008
65 Ho 0.9103 0.8110 0.8046
66 Ho 0.9103 0.0992 0.6057
67 Ho 0.8943 0.3046 0.4936
68 Ho 0.1890 0.0992 0.9936
69 Ho 0.6057 0.5992 0.9103
70 Ho 0.4008 0.0064 0.3110
71 Ho 0.3046 0.4103 0.8110
72 Ho 0.1954 0.5064 0.6057
73 Ho 0.9008 0.0897 0.8943
74 Ho 0.6890 0.1954 0.5897
75 Ho 0.4936 0.8046 0.8943
76 Ho 0.0064 0.4008 0.8110
77 Ho 0.4103 0.3046 0.3110
78 Ho 0.0064 0.6057 0.6954
79 Ho 0.6890 0.4936 0.5992
80 Ho 0.3046 0.8943 0.9936